## LaHgMo2 (PBE-GGA)

Data for a relaxed structure of LaHgMo2.

Summary:
The space-group type is Cmmm. As for the total energy: -23.8 eV/f.u. For the total moment, the calculation gives 0.000 μB/atom. The calculation puts the energy relative to the elements at 0.769 eV/atom.

Unit cell a=5.617 b=5.617 c=2.796 alpha=90.00 beta=90.00 gamma=112.70
Atoms (fractional coordinates):
1 Mo 0.500 0.500 0.000
2 Mo 0.000 0.000 0.000
3 Hg 0.500 0.000 0.500
4 La 0.000 0.500 0.500

## TlNiOs2 (PBE-GGA)

Data for a relaxed structure of TlNiOs2.

Summary:
For the offset from the most stable computed form, the calculation gives 201 meV per atom. The space-group type is C2/m. As for the total energy: -27.9 eV/f.u. For the total moment, the calculation gives 0.000 μB/atom. The calculation puts the energy relative to the elements at 0.670 eV/atom.

Unit cell a=4.687 b=4.687 c=5.028 alpha=79.42 beta=79.42 gamma=35.42
Atoms (fractional coordinates):
1 Os 0.513 0.513 0.456
2 Os 0.987 0.987 0.044
3 Tl 0.750 0.750 0.750
4 Ni 0.250 0.250 0.250

## TcAg3Cl7 (PBE-GGA)

Data for a relaxed structure of TcAg3Cl7.

Summary:
The space-group type is Cm. As for the total energy: -37.6 eV/f.u. For the total moment, the calculation gives 0.269 μB/atom. For the formation energy (no corrections), the calculation gives -524 meV per atom.

Unit cell a=6.715 b=6.715 c=6.662 alpha=80.43 beta=80.43 gamma=97.73
Atoms (fractional coordinates):
1 Ag 0.666 0.181 0.587
2 Cl 0.519 0.519 0.531
3 Cl 0.222 0.222 0.175
4 Ag 0.181 0.666 0.587
5 Ag 0.488 0.488 0.923
6 Tc 0.004 0.004 0.028
7 Cl 0.042 0.708 0.249
8 Cl 0.955 0.294 0.784
9 Cl 0.796 0.796 0.853
10 Cl 0.708 0.042 0.249
11 Cl 0.294 0.955 0.784

## LiAc4Nd3Te8 (PBE-GGA)

Data for a relaxed structure of LiAc4Nd3Te8.

Summary:
The space-group type is R-3m. As for the total energy: -80.7 eV/f.u. For the total moment, the calculation gives 0.000 μB/atom. For the formation energy (no corrections), the calculation gives -1431 meV per atom.

Unit cell a=9.231 b=9.175 c=9.231 alpha=120.20 beta=120.00 gamma=90.00
Atoms (fractional coordinates):
1 Te 0.239 0.729 0.477
2 Ac 0.500 0.000 0.000
3 Nd 0.000 0.500 0.500
4 Te 0.752 0.729 0.991
5 Ac 0.000 0.000 0.000
6 Ac 0.000 0.000 0.500
7 Nd 0.500 0.500 0.500
8 Li 0.000 0.500 0.000
9 Te 0.745 0.736 0.491
10 Te 0.761 0.271 0.523
11 Te 0.761 0.271 0.009
12 Ac 0.500 0.000 0.500
13 Nd 0.500 0.500 0.000
14 Te 0.255 0.264 0.509
15 Te 0.239 0.729 0.991
16 Te 0.248 0.271 0.009

## Pu2BeGe2Au4 (PBE-GGA)

Data for a relaxed structure of Pu2BeGe2Au4.

Summary:
The space-group type is I4/mmm. As for the total energy: -57.0 eV/f.u. For the total moment, the calculation gives 1.226 μB/atom. The calculation puts the energy relative to the elements at -0.247 eV/atom.

Unit cell a=6.385 b=6.385 c=6.385 alpha=87.83 beta=121.26 gamma=121.26
Atoms (fractional coordinates):
1 Au 0.479 0.740 0.740
2 Au 0.521 0.260 0.260
3 Au 0.000 0.260 0.740
4 Pu 0.500 0.750 0.250
5 Be 0.000 0.000 0.000
6 Pu 0.500 0.250 0.750
7 Au 0.000 0.740 0.260
8 Ge 0.000 0.293 0.293
9 Ge 0.000 0.707 0.707

## Sr3CaAu (PBE-GGA)

Data for a relaxed structure of Sr3CaAu.

Summary:
For the offset from the most stable computed form, the calculation gives 1116 meV per atom. The space-group type is Pm-3m. As for the total energy: -6.5 eV/f.u. For the total moment, the calculation gives 0.219 μB/atom. The calculation puts the energy relative to the elements at 0.767 eV/atom.

Unit cell a=6.800 b=6.800 c=6.800 alpha=90.00 beta=90.00 gamma=90.00
Atoms (fractional coordinates):
1 Sr 0.000 0.000 0.500
2 Sr 0.000 0.500 0.000
3 Au 0.500 0.500 0.500
4 Sr 0.500 0.000 0.000
5 Ca 0.000 0.000 0.000